DFT (PBE) results for a geometry-optimized RuSe3 structure.

Cell and atoms, written as CIF:
```
data_RuSe3
_cell_length_a 7.5377
_cell_length_b 7.5377
_cell_length_c 6.3564
_cell_angle_alpha 90.00
_cell_angle_beta 90.00
_cell_angle_gamma 120.00
_symmetry_space_group_name_H-M 'P 63/m m c'
_symmetry_Int_Tables_number 194
_symmetry_space_group_name_Hall '-P 6c 2c'
loop_
_atom_site_label
_atom_site_fract_x
_atom_site_fract_y
_atom_site_fract_z
Ru1 0.0000 0.0000 0.0000
Ru2 0.3333 0.6667 0.2500
Se1 0.0000 0.5000 0.0000
Se2 0.1503 0.3007 0.7500
```

Results
* spin magnetization: 0.00 μB/cell
* energy relative to the elements, uncorrected: 309.3 meV/atom
* distance to the lowest polymorph of the same formula: 377.9 meV per atom